[1]
Entry from Alexandria: Ba2Cd6PdRh after structural relaxation (PBE).

Unit cell a=7.4492 b=7.4505 c=7.4581 alpha=60.04 beta=60.05 gamma=90.03
Sites, in units of the cell vectors:
Ba1 0.7501 0.2501 0.4998
Ba2 0.2499 0.7499 0.5002
Cd1 0.7490 0.7489 0.0000
Cd2 0.7488 0.7488 0.5022
Cd3 0.7488 0.2510 0.0000
Cd4 0.2511 0.7490 0.0000
Cd5 0.2510 0.2510 0.0000
Cd6 0.2512 0.2512 0.4978
Pd1 0.0000 0.0000 0.0000
Rh1 0.5000 0.5000 0.0000

Results
- ΔH_f (0 K) (meV per atom) = -285
- space group = No. 139

[2]
Entry from Alexandria: TbNdCdAg after structural relaxation (PBE).

Unit cell a=3.7409 b=3.7409 c=7.5626 alpha=90.00 beta=90.00 gamma=90.00
Sites, in units of the cell vectors:
Ag1 0.0000 0.0000 0.3744
Nd1 0.5000 0.5000 0.1123
Cd1 0.0000 0.0000 0.8443
Tb1 0.5000 0.5000 0.5969

Results
- ΔH_f (0 K) (meV per atom) = -299
- space group = No. 99